First-principles (PBE) data for a geometry-optimized B2SbC structure, as listed in the Alexandria database.

Computed properties:
Formation energy from raw total energies ... 0.65 eV/atom

Structure (POSCAR):
```
B2SbC
1.0
-2.289 2.289 4.387
2.289 -2.289 4.387
2.289 2.289 -4.387
B Sb C
4 2 2
Direct
0.008 0.625 0.883
0.375 0.258 0.383
0.742 0.125 0.117
0.875 0.992 0.617
0.250 0.750 0.500
0.500 0.500 0.000
0.000 0.000 0.000
0.750 0.250 0.500
```


First-principles (PBE) data for a geometry-optimized LaSm2Tl4 structure, as listed in the Alexandria database.

Computed properties:
Calculated formation energy ... -1.6 eV/f.u.

Structure (POSCAR):
```
LaSm2Tl4
1.0
5.346 0.000 0.000
0.000 5.346 0.000
0.000 0.000 7.854
La Sm Tl
1 2 4
Direct
0.000 0.000 0.000
0.000 0.000 0.500
0.500 0.500 0.000
0.000 0.500 0.273
0.000 0.500 0.727
0.500 0.000 0.273
0.500 0.000 0.727
```


First-principles (PBE) data for a geometry-optimized MgTe2Mo structure, as listed in the Alexandria database.

Computed properties:
Formation energy from raw total energies ... 0.16 eV/atom

Structure (POSCAR):
```
MgTe2Mo
1.0
-3.238 3.238 6.492
3.238 -3.238 6.492
3.238 3.238 -6.492
Mg Te Mo
2 4 2
Direct
0.000 0.000 0.000
0.750 0.250 0.500
0.131 0.625 0.006
0.375 0.381 0.506
0.619 0.125 0.994
0.875 0.869 0.494
0.250 0.750 0.500
0.500 0.500 0.000
```


First-principles (PBE) data for a geometry-optimized Tm4Ag3Os structure, as listed in the Alexandria database.

Computed properties:
Calculated formation energy ... -2.7 eV/f.u.

Structure (POSCAR):
```
Tm4Ag3Os
1.0
3.470 0.000 0.000
0.000 3.470 0.000
0.000 0.000 14.600
Tm Ag Os
4 3 1
Direct
0.000 0.000 0.111
0.000 0.000 0.372
0.000 0.000 0.628
0.000 0.000 0.889
0.500 0.500 0.246
0.500 0.500 0.500
0.500 0.500 0.754
0.500 0.500 0.000
```